Entry 1:
A plane-wave DFT calculation with GGA-PBE was carried out for crystalline Y2BeB2 at its relaxed geometry. Values from VASP.

N(E_F): 6.274 states/eV per cell
Energy of formation: -2.680 kcal/mol of atoms
Space group: No. 127

Cell and atoms, written as Quantum ESPRESSO input:
```
&SYSTEM
  ibrav = 0, nat = 10, ntyp = 3
/
ATOMIC_SPECIES
Y 88.91 Y.upf
Be 9.01 Be.upf
B 10.81 B.upf
CELL_PARAMETERS angstrom
6.6119 0.0000 0.0000
0.0000 6.6119 0.0000
0.0000 0.0000 3.6337
ATOMIC_POSITIONS crystal
Y 0.1906 0.3094 0.0000
Y 0.3094 0.8094 0.0000
Y 0.6906 0.1906 0.0000
Y 0.8094 0.6906 0.0000
Be 0.0000 0.0000 0.5000
Be 0.5000 0.5000 0.5000
B 0.0883 0.5883 0.5000
B 0.4117 0.0883 0.5000
B 0.5883 0.9117 0.5000
B 0.9117 0.4117 0.5000
```

***

Entry 2:
A plane-wave DFT calculation with GGA-PBE was carried out for crystalline Ba3CaGe2O8 at its relaxed geometry. Values from VASP.

N(E_F): 0.000 states/eV per cell
Space group: No. 164
Formation energy without anion corrections: -2.491 eV per atom

Cell and atoms, written as Quantum ESPRESSO input:
```
&SYSTEM
  ibrav = 0, nat = 14, ntyp = 4
/
ATOMIC_SPECIES
Ba 137.33 Ba.upf
Ca 40.08 Ca.upf
Ge 72.64 Ge.upf
O 16.00 O.upf
CELL_PARAMETERS angstrom
5.9764 0.0000 0.0000
-2.9882 5.1757 0.0000
0.0000 0.0000 7.5845
ATOMIC_POSITIONS crystal
Ba 0.0000 0.0000 0.0000
Ba 0.3333 0.6667 0.6611
Ba 0.6667 0.3333 0.3389
Ca 0.0000 0.0000 0.5000
Ge 0.3333 0.6667 0.2163
Ge 0.6667 0.3333 0.7837
O 0.1743 0.3487 0.3093
O 0.1743 0.8257 0.3093
O 0.3333 0.6667 0.9870
O 0.3487 0.1743 0.6907
O 0.6513 0.8257 0.3093
O 0.6667 0.3333 0.0130
O 0.8257 0.1743 0.6907
O 0.8257 0.6513 0.6907
```

***

Entry 3:
A plane-wave DFT calculation with GGA-PBE was carried out for crystalline FeSiAu at its relaxed geometry. Values from VASP.

N(E_F): 8.864 states/eV per cell
Space group: No. 216
Formation energy without anion corrections: 0.070 eV per atom

Cell and atoms, written as Quantum ESPRESSO input:
```
&SYSTEM
  ibrav = 0, nat = 12, ntyp = 3
/
ATOMIC_SPECIES
Fe 55.84 Fe.upf
Si 28.09 Si.upf
Au 196.97 Au.upf
CELL_PARAMETERS angstrom
5.6422 0.0000 0.0000
0.0000 5.6422 0.0000
0.0000 0.0000 5.6422
ATOMIC_POSITIONS crystal
Fe 0.0000 0.0000 0.0000
Fe 0.0000 0.5000 0.5000
Fe 0.5000 0.0000 0.5000
Fe 0.5000 0.5000 0.0000
Si 0.2500 0.2500 0.7500
Si 0.2500 0.7500 0.2500
Si 0.7500 0.2500 0.2500
Si 0.7500 0.7500 0.7500
Au 0.0000 0.0000 0.5000
Au 0.0000 0.5000 0.0000
Au 0.5000 0.0000 0.0000
Au 0.5000 0.5000 0.5000
```